No. 1
Crystalline AlI3N5 at its relaxed geometry, computed with PBE.

Cell lengths 7.565, 7.565, 7.968 Å; angles 90.00, 90.00, 124.52 degrees
Element x y z (fractional)
Al 0.171 0.829 0.750
Al 0.829 0.171 0.250
I 0.228 0.228 0.000
I 0.228 0.228 0.500
I 0.269 0.731 0.250
I 0.731 0.269 0.750
I 0.772 0.772 0.000
I 0.772 0.772 0.500
N 0.091 0.909 0.554
N 0.091 0.909 0.946
N 0.145 0.424 0.250
N 0.314 0.686 0.750
N 0.424 0.145 0.750
N 0.576 0.855 0.250
N 0.686 0.314 0.250
N 0.855 0.576 0.750
N 0.909 0.091 0.054
N 0.909 0.091 0.446

Calculated values
* energy relative to the elements, uncorrected: 1.37 eV/atom
* size of the total moment: 1.92 μB/f.u.
* E: -4.184 eV/atom

No. 2
Crystalline LaMnMo2 at its relaxed geometry, computed with PBE.

Cell lengths 2.981, 2.981, 28.386 Å; angles 90.00, 90.00, 120.00 degrees
Element x y z (fractional)
La 0.000 0.000 0.000
La 0.333 0.667 0.667
La 0.667 0.333 0.333
Mn 0.000 0.000 0.500
Mn 0.333 0.667 0.167
Mn 0.667 0.333 0.833
Mo 0.000 0.000 0.234
Mo 0.000 0.000 0.766
Mo 0.333 0.667 0.433
Mo 0.333 0.667 0.901
Mo 0.667 0.333 0.099
Mo 0.667 0.333 0.567

Calculated values
* ΔE_f: 707.3 meV per atom
* size of the total moment: 1.54 μB/f.u.
* E: -8.232 eV/atom

No. 3
Crystalline Pa2HgAs at its relaxed geometry, computed with PBE.

Cell lengths 3.757, 3.757, 25.495 Å; angles 90.00, 90.00, 120.00 degrees
Element x y z (fractional)
Pa 0.000 0.000 0.239
Pa 0.000 0.000 0.761
Pa 0.333 0.667 0.428
Pa 0.333 0.667 0.905
Pa 0.667 0.333 0.095
Pa 0.667 0.333 0.572
Hg 0.000 0.000 0.000
Hg 0.333 0.667 0.667
Hg 0.667 0.333 0.333
As 0.000 0.000 0.500
As 0.333 0.667 0.167
As 0.667 0.333 0.833

Calculated values
* ΔE_f: -264.5 meV per atom
* size of the total moment: 0.00 μB/f.u.
* E: -6.250 eV/atom

No. 4
Crystalline SmCrCl6 at its relaxed geometry, computed with PBE.

Cell lengths 6.901, 6.901, 6.901 Å; angles 55.47, 55.47, 55.47 degrees
Element x y z (fractional)
Sm 0.000 0.000 0.000
Cr 0.500 0.500 0.500
Cl 0.120 0.725 0.422
Cl 0.275 0.578 0.880
Cl 0.422 0.120 0.725
Cl 0.578 0.880 0.275
Cl 0.725 0.422 0.120
Cl 0.880 0.275 0.578

Calculated values
* energy relative to the elements, uncorrected: -1.60 eV/atom
* size of the total moment: 3.00 μB/f.u.
* E: -4.781 eV/atom

No. 5
Crystalline AcPu2Ga at its relaxed geometry, computed with PBE.

Cell lengths 3.787, 3.787, 8.062 Å; angles 90.00, 90.00, 90.00 degrees
Element x y z (fractional)
Ac 0.000 0.000 0.000
Pu 0.500 0.500 0.313
Pu 0.500 0.500 0.687
Ga 0.000 0.000 0.500

Calculated values
* ΔE_f: -1.3 meV per atom
* size of the total moment: 11.72 μB/f.u.
* E: -8.951 eV/atom

No. 6
Crystalline Pa2BeGa at its relaxed geometry, computed with PBE.

Cell lengths 6.895, 6.895, 6.895 Å; angles 90.00, 90.00, 90.00 degrees
Element x y z (fractional)
Pa 0.250 0.250 0.250
Pa 0.250 0.250 0.750
Pa 0.250 0.750 0.250
Pa 0.250 0.750 0.750
Pa 0.750 0.250 0.250
Pa 0.750 0.250 0.750
Pa 0.750 0.750 0.250
Pa 0.750 0.750 0.750
Be 0.000 0.000 0.000
Be 0.000 0.500 0.500
Be 0.500 0.000 0.500
Be 0.500 0.500 0.000
Ga 0.000 0.000 0.500
Ga 0.000 0.500 0.000
Ga 0.500 0.000 0.000
Ga 0.500 0.500 0.500

Calculated values
* ΔE_f: 166.2 meV per atom
* size of the total moment: 1.00 μB/f.u.
* E: -6.270 eV/atom